Compound: CeYFeCu
Source: the Alexandria database
Functional: PBE
Structure: relaxed Values from VASP.

Geometry as Quantum ESPRESSO input:
```
&SYSTEM
  ibrav = 0, nat = 4, ntyp = 4
/
ATOMIC_SPECIES
Ce 140.12 Ce.upf
Y 88.91 Y.upf
Fe 55.84 Fe.upf
Cu 63.55 Cu.upf
CELL_PARAMETERS angstrom
0.000 3.442 3.442
3.442 0.000 3.442
3.442 3.442 0.000
ATOMIC_POSITIONS crystal
Ce 0.000 0.000 0.000
Y 0.500 0.500 0.500
Fe 0.250 0.250 0.250
Cu 0.750 0.750 0.750
```

## Properties
Symmetry = F-43m
Crystal system = cubic

Compound: KLaSn2Ru
Source: the Alexandria database
Functional: PBE
Structure: relaxed Values from VASP.

Geometry as Quantum ESPRESSO input:
```
&SYSTEM
  ibrav = 0, nat = 5, ntyp = 4
/
ATOMIC_SPECIES
K 39.10 K.upf
La 138.91 La.upf
Sn 118.71 Sn.upf
Ru 101.07 Ru.upf
CELL_PARAMETERS angstrom
5.611 0.000 0.000
0.000 5.611 0.000
0.000 0.000 4.698
ATOMIC_POSITIONS crystal
K 0.000 0.000 0.000
La 0.500 0.500 0.500
Sn 0.000 0.500 0.000
Sn 0.500 0.000 0.000
Ru 0.000 0.000 0.500
```

## Properties
Symmetry = P4/mmm
Crystal system = tetragonal

Number 1: E_form 0.020 eV/atom. Number 2: E_form 1.135 eV/atom.